# PBE+U VBOF2, relaxed
data_VBOF2
_space_group_name_H-M_alt 'P 4/m m m'
_space_group_IT_number 123
_space_group_name_Hall '-P 4 2'
_cell_length_a 4.058
_cell_length_b 4.058
_cell_length_c 3.751
_cell_angle_alpha 90.00
_cell_angle_beta 90.00
_cell_angle_gamma 90.00
loop_
_atom_site_label
_atom_site_type_symbol
_atom_site_fract_x
_atom_site_fract_y
_atom_site_fract_z
V1 V 0.000 0.000 0.000
B1 B 0.500 0.500 0.500
O1 O 0.000 0.000 0.500
F1 F 0.000 0.500 0.000
# Uncorrected energy ... -5.3954 eV/atom
# DOS(E_F) ... 1.92 states/eV/cell
# Relative energy among the computed polymorphs ... 0.396 eV per atom